Entry 1:
Material: Na2RhCl6
Method: DFT, PBE-GGA
State: relaxed

```
data_Na2RhCl6
_chemical_formula_sum 'Na4 Rh2 Cl12'
_space_group_name_H-M_alt 'P 1 21/c 1'
_space_group_IT_number 14
_space_group_name_Hall '-P 2ybc'
_cell_length_a 6.6425
_cell_length_b 6.9300
_cell_length_c 11.2954
_cell_angle_alpha 90.00
_cell_angle_beta 123.26
_cell_angle_gamma 90.00
loop_
_atom_site_label
_atom_site_type_symbol
_atom_site_fract_x
_atom_site_fract_y
_atom_site_fract_z
Na1 Na 0.2005 0.0947 0.2316
Rh1 Rh 0.5000 0.0000 0.0000
Cl1 Cl 0.1587 0.1827 0.9437
Cl2 Cl 0.2761 0.7157 0.9464
Cl3 Cl 0.3860 0.0235 0.7641
```

Total magnetization ... 1.08 μB/f.u.
Energy relative to the elements, uncorrected ... -1.06 eV/atom
DFT total energy ... -3.40 eV per atom

=====

Entry 2:
Material: Na2RhCl6
Method: DFT, PBE-GGA
State: relaxed

```
data_Na2RhCl6
_chemical_formula_sum 'Na4 Rh2 Cl12'
_space_group_name_H-M_alt 'P 42/m n m'
_space_group_IT_number 136
_space_group_name_Hall '-P 4n 2n'
_cell_length_a 6.2370
_cell_length_b 6.2370
_cell_length_c 11.9921
_cell_angle_alpha 90.00
_cell_angle_beta 90.00
_cell_angle_gamma 90.00
loop_
_atom_site_label
_atom_site_type_symbol
_atom_site_fract_x
_atom_site_fract_y
_atom_site_fract_z
Na1 Na 0.0000 0.0000 0.1682
Rh1 Rh 0.0000 0.0000 0.5000
Cl1 Cl 0.1837 0.1837 0.3577
Cl2 Cl 0.2355 0.2355 0.0000
```

Total magnetization ... 1.09 μB/f.u.
Energy relative to the elements, uncorrected ... -1.02 eV/atom
DFT total energy ... -3.36 eV per atom

=====

Entry 3:
Material: NaRhCl2
Method: DFT, PBE-GGA
State: relaxed

```
data_NaRhCl2
_chemical_formula_sum 'Na4 Rh4 Cl8'
_space_group_name_H-M_alt 'I -4 2 d'
_space_group_IT_number 122
_space_group_name_Hall 'I -4 2bw'
_cell_length_a 5.7094
_cell_length_b 5.7094
_cell_length_c 12.8583
_cell_angle_alpha 90.00
_cell_angle_beta 90.00
_cell_angle_gamma 90.00
loop_
_atom_site_label
_atom_site_type_symbol
_atom_site_fract_x
_atom_site_fract_y
_atom_site_fract_z
Na1 Na 0.0000 0.0000 0.0000
Rh1 Rh 0.0000 0.0000 0.5000
Cl1 Cl 0.2152 0.2500 0.6250
```

Total magnetization ... 2.00 μB/f.u.
Energy relative to the elements, uncorrected ... -0.54 eV/atom
DFT total energy ... -3.63 eV per atom

=====

Entry 4:
Material: NaRhCl2
Method: DFT, PBE-GGA
State: relaxed

```
data_NaRhCl2
_chemical_formula_sum 'Na4 Rh4 Cl8'
_space_group_name_H-M_alt 'F m -3 m'
_space_group_IT_number 225
_space_group_name_Hall '-F 4 2 3'
_cell_length_a 6.6826
_cell_length_b 6.6826
_cell_length_c 6.6826
_cell_angle_alpha 90.00
_cell_angle_beta 90.00
_cell_angle_gamma 90.00
loop_
_atom_site_label
_atom_site_type_symbol
_atom_site_fract_x
_atom_site_fract_y
_atom_site_fract_z
Na1 Na 0.0000 0.0000 0.0000
Rh1 Rh 0.0000 0.0000 0.5000
Cl1 Cl 0.2500 0.2500 0.2500
```

Total magnetization ... 2.00 μB/f.u.
Energy relative to the elements, uncorrected ... -0.40 eV/atom
DFT total energy ... -3.49 eV per atom